[1]
The following is a DFT calculation (GGA-PBE) of a geometry-optimized Rb2AgPdF6 structure.

```
10
Lattice="-1.1693 3.2904 4.8984 -5.4394 1.3588 -2.1806 1.6820 -5.7491 0.5541" Properties=species:S:1:pos:R:3 pbc="T T T"
Rb -1.3959 -0.0670 3.4057
F -1.6073 1.1307 0.6610
F -4.1434 0.5535 2.3483
F -2.2002 2.8241 3.1895
F -5.0014 3.5185 2.0568
F -4.4086 1.8251 -0.4716
Ag -3.3044 2.3246 1.3589
Rb -3.5309 -1.0328 -0.1338
F -0.7833 -1.6534 0.9237
Pd 0.0000 0.0000 0.0000
```

Results
Raw total energy: -39.84 eV per cell
Calculated density: 5396 kg/m3

=====

[2]
The following is a DFT calculation (GGA-PBE) of a geometry-optimized Sm3Mg4 structure.

```
14
Lattice="6.0313 6.9642 0.0000 -3.0156 8.7052 0.0000 0.0000 0.0000 5.3545" Properties=species:S:1:pos:R:3 pbc="T T T"
Mg 3.0616 5.2886 0.0000
Mg 5.9515 6.9711 0.0000
Sm 2.0408 10.3186 2.6773
Mg 2.0902 6.9571 2.6773
Sm -1.1310 8.7426 2.6773
Mg 1.9765 14.0009 2.6773
Sm 2.9852 12.3148 0.0000
Mg 4.9801 8.6396 2.6773
Sm 0.1258 6.9266 0.0000
Mg 3.0495 8.6325 0.0000
Sm -0.0953 3.3917 0.0000
Mg -1.0052 5.2230 2.6773
Sm 2.1057 3.5722 2.6773
Mg -0.0001 10.4462 0.0000
```

Results
Raw total energy: -40.86 eV per cell
Calculated density: 4627 kg/m3
ΔE to the lowest computed polymorph: 0.0000 eV per atom

=====

[3]
The following is a DFT calculation (GGA-PBE) of a geometry-optimized ThNpCd structure.

```
3
Lattice="3.0550 0.1919 3.8786 -1.7389 -0.7945 4.5561 1.1935 -4.1437 2.4121" Properties=species:S:1:pos:R:3 pbc="T T T"
Th 1.8822 -3.5597 8.1351
Cd 0.6274 -1.1866 2.7117
Np 0.0000 0.0000 0.0000
```

Results
Formation enthalpy at 0 K: 0.798 eV per atom
Raw total energy: -18.68 eV per cell
Calculated density: 11320 kg/m3

=====

[4]
The following is a DFT calculation (GGA-PBE) of a geometry-optimized RbPrCdO3 structure.

```
12
Lattice="6.6660 -1.8793 0.0000 6.6660 1.8793 0.0000 0.0000 0.0000 9.5485" Properties=species:S:1:pos:R:3 pbc="T T T"
Cd 7.7942 0.0000 2.3871
Cd 5.5378 0.0000 7.1614
O 0.3605 0.0000 7.1614
O 12.9714 0.0000 2.3871
Rb 9.2500 0.0000 7.1614
Rb 4.0820 0.0000 2.3871
O 5.1542 0.0000 9.2280
Pr 0.0000 0.0000 4.7742
O 8.1778 0.0000 0.3205
O 8.1778 0.0000 4.4538
O 5.1542 0.0000 5.0947
Pr 0.0000 0.0000 0.0000
```

Results
Raw total energy: -66.03 eV per cell
Calculated density: 5369 kg/m3

=====

[5]
The following is a DFT calculation (GGA-PBE) of a geometry-optimized InHPd3 structure.

```
5
Lattice="-2.2867 -0.1535 -3.3628 3.3650 -0.2197 -2.2782 -0.0957 -4.0607 0.2504" Properties=species:S:1:pos:R:3 pbc="T T T"
Pd 1.6347 -2.1402 -1.0139
H 0.4913 -2.2170 -2.6953
In 0.0000 0.0000 0.0000
Pd -1.1912 -2.1071 -1.5562
Pd 0.5391 -0.1866 -2.8205
```

Results
Raw total energy: -23.88 eV per cell
Calculated density: 10720 kg/m3
ΔE to the lowest computed polymorph: 0.0000 eV per atom

=====

[6]
The following is a DFT calculation (GGA-PBE) of a geometry-optimized CsNaTh structure.

```
3
Lattice="0.0000 4.4470 4.4470 4.4470 0.0000 4.4470 4.4470 4.4470 0.0000" Properties=species:S:1:pos:R:3 pbc="T T T"
Cs 2.2235 2.2235 2.2235
Na 6.6705 6.6705 6.6705
Th 0.0000 0.0000 0.0000
```

Results
Raw total energy: -5.11 eV per cell
Calculated density: 3662 kg/m3
ΔE to the lowest computed polymorph: 0.0000 eV per atom